Below is GePb2Cl2O2 after structural relaxation, with properties calculated at the GGA-PBE level.

* density of states at the Fermi level: 0.00 states/eV per atom
* formation energy from raw total energies: -1040 meV per atom
* total energy: -4.7039 eV/atom

Lattice parameters (Å, degrees): 12.6489 3.8688 7.5587 90.00 108.55 90.00
Space group C2/m (No. 12)
One atom of each set of equivalent atoms:
Ge1 0.0000 0.0000 0.0000 [2 per cell]
Pb1 0.1962 0.5000 0.7848 [4 per cell]
Cl1 0.0901 0.5000 0.2714 [4 per cell]
O1 0.1580 0.0000 0.9352 [4 per cell]